## Li2Ni3O6 (GGA+U)

Data for an optimized crystal structure of Li2Ni3O6.

Values from the calculation:
distance to the lowest polymorph of the same formula: 34.1 meV per atom
density: 4.45 Mg/m³

extended XYZ file:
```
22
Lattice="10.025 0.000 0.000 0.000 2.488 4.281 0.000 -2.488 4.281" Properties=species:S:1:pos:R:3 pbc="T T T"
Li 2.480 -2.011 4.281
Li 2.532 0.477 4.281
Li 7.493 -0.477 4.281
Li 7.544 2.011 4.281
Ni 0.000 0.000 0.796
Ni 0.000 0.000 3.620
Ni 0.000 0.000 6.456
Ni 5.012 0.000 2.175
Ni 5.012 0.000 5.077
Ni 5.012 0.000 7.901
O 0.954 -0.850 2.213
O 1.012 1.614 3.688
O 1.095 -0.736 4.934
O 3.918 1.751 4.934
O 4.001 -0.874 3.688
O 4.058 -0.850 6.494
O 5.966 0.850 6.494
O 6.024 0.874 3.688
O 6.107 -1.751 4.934
O 8.930 0.736 4.934
O 9.013 -1.614 3.688
O 9.071 0.850 2.213
```